# 1
Here is crystalline Ti3AuC at its relaxed geometry from Alexandria via LeMat-Bulk. Energies are from PBE-GGA.

Output
- Calculated formation energy: -0.44 eV per atom

Geometry as extended XYZ:
```
20
Lattice="6.346 -4.376 0.000 6.346 4.376 0.000 -1.575 0.000 5.489" Properties=species:S:1:pos:R:3 pbc="T T T"
Ti 1.355 0.587 0.955
Ti 3.677 1.849 2.387
Ti 0.568 -0.587 3.699
Ti 2.492 0.989 5.057
Ti 3.280 -0.989 2.313
Ti 8.226 1.849 0.357
Ti 2.890 -1.849 5.132
Ti 7.837 0.989 3.176
Ti 8.624 -0.989 0.432
Ti 10.549 0.587 1.790
Ti 7.439 -1.849 3.102
Ti 9.761 -0.587 4.534
Au 5.952 2.711 1.372
Au 5.165 0.236 4.117
Au 5.952 -0.236 1.372
Au 5.165 -2.711 4.117
C 2.025 0.652 2.951
C 2.812 -0.652 0.207
C 8.305 0.652 5.282
C 9.092 -0.652 2.538
```


# 2
Here is crystalline MgH2Pd2Au at its relaxed geometry from Alexandria via LeMat-Bulk. Energies are from PBE-GGA.

Geometry as extended XYZ:
```
6
Lattice="3.065 0.000 0.000 -1.533 2.655 0.000 0.000 0.000 8.929" Properties=species:S:1:pos:R:3 pbc="T T T"
Mg 0.000 0.000 0.000
H 0.000 1.770 7.324
H 1.533 0.885 1.604
Pd 0.000 1.770 2.123
Pd 1.533 0.885 6.806
Au 0.000 0.000 4.464
```


# 3
Here is crystalline Ta2CdCl at its relaxed geometry from Alexandria via LeMat-Bulk. Energies are from PBE-GGA.

Geometry as extended XYZ:
```
4
Lattice="-1.498 2.581 5.170 1.498 -2.581 5.170 1.498 2.581 -5.170" Properties=species:S:1:pos:R:3 pbc="T T T"
Ta 0.000 0.000 0.000
Ta 0.000 2.581 2.944
Cd 1.498 0.000 2.997
Cl 0.000 0.000 5.961
```


# 4
Here is crystalline SrAlP2Se8 at its relaxed geometry from Alexandria via LeMat-Bulk. Energies are from PBE-GGA.

Geometry as extended XYZ:
```
12
Lattice="6.257 0.000 0.000 -3.128 5.419 0.000 0.000 0.000 9.111" Properties=species:S:1:pos:R:3 pbc="T T T"
Sr 0.000 0.000 0.000
Al 0.000 0.000 4.556
P 0.000 3.612 6.765
P 3.128 1.806 2.346
Se -2.146 3.793 2.846
Se 0.917 1.663 2.846
Se 1.899 0.038 6.266
Se 0.000 3.612 8.981
Se 3.128 1.806 0.131
Se 1.230 5.381 2.846
Se 2.212 3.755 6.266
Se 5.275 1.626 6.266
```


# 5
Here is crystalline RbNa2GaCo at its relaxed geometry from Alexandria via LeMat-Bulk. Energies are from PBE-GGA.

Output
- Calculated formation energy: 0.32 eV per atom

Geometry as extended XYZ:
```
5
Lattice="5.654 0.000 0.000 0.000 5.654 0.000 0.000 0.000 4.697" Properties=species:S:1:pos:R:3 pbc="T T T"
Rb 0.000 0.000 0.000
Na 0.000 2.827 2.348
Na 2.827 0.000 2.348
Ga 2.827 2.827 0.000
Co 2.827 2.827 2.348
```


# 6
Here is crystalline YTeAs3 at its relaxed geometry from Alexandria via LeMat-Bulk. Energies are from PBE-GGA.

Geometry as extended XYZ:
```
5
Lattice="5.423 0.000 0.000 0.000 5.423 0.000 0.000 0.000 5.423" Properties=species:S:1:pos:R:3 pbc="T T T"
Y 0.000 0.000 0.000
Te 2.711 2.711 2.711
As 0.000 0.000 2.711
As 0.000 2.711 0.000
As 2.711 0.000 0.000
```


# 7
Here is crystalline PmErCdBi at its relaxed geometry from Alexandria via LeMat-Bulk. Energies are from PBE-GGA.

Output
- Calculated formation energy: -0.42 eV per atom

Geometry as extended XYZ:
```
4
Lattice="0.000 3.840 3.840 3.840 0.000 3.840 3.840 3.840 0.000" Properties=species:S:1:pos:R:3 pbc="T T T"
Pm 0.000 0.000 0.000
Er 3.840 3.840 3.840
Cd 5.759 5.759 5.759
Bi 1.920 1.920 1.920
```


# 8
Here is crystalline Ba6Cd2Ga at its relaxed geometry from Alexandria via LeMat-Bulk. Energies are from PBE-GGA.

Output
- Calculated formation energy: -0.18 eV per atom

Geometry as extended XYZ:
```
18
Lattice="-5.809 5.876 5.947 5.809 -5.876 5.947 5.809 5.876 -5.947" Properties=species:S:1:pos:R:3 pbc="T T T"
Ba 5.809 -3.016 3.702
Ba 3.260 1.953 0.000
Ba 8.357 1.953 0.000
Ba 2.939 5.876 -2.011
Ba 2.870 0.000 3.935
Ba 0.000 2.859 2.245
Ba 5.809 3.016 3.702
Ba 2.939 5.876 2.011
Ba 2.870 0.000 7.958
Ba -2.548 3.923 5.947
Ba 2.548 3.923 5.947
Ba 0.000 8.892 2.245
Cd 5.809 0.000 1.701
Cd 5.809 4.411 0.000
Cd 0.000 1.464 5.947
Cd 0.000 5.876 4.245
Ga 0.000 0.000 0.000
Ga 0.000 5.876 0.000
```


# 9
Here is crystalline AcBeSn at its relaxed geometry from Alexandria via LeMat-Bulk. Energies are from PBE-GGA.

Output
- Calculated formation energy: 0.08 eV per atom

Geometry as extended XYZ:
```
3
Lattice="-1.802 1.802 5.902 1.802 -1.802 5.902 1.802 1.802 -5.902" Properties=species:S:1:pos:R:3 pbc="T T T"
Ac 0.000 0.000 0.000
Be 0.000 0.000 3.727
Sn 0.000 0.000 8.455
```


# 10
Here is crystalline GaNi8Rh2 at its relaxed geometry from Alexandria via LeMat-Bulk. Energies are from PBE-GGA.

Output
- Calculated formation energy: 0.03 eV per atom

Geometry as extended XYZ:
```
11
Lattice="-1.900 5.351 3.314 1.900 -5.351 3.314 1.900 5.351 -3.314" Properties=species:S:1:pos:R:3 pbc="T T T"
Ga 0.000 0.000 0.000
Ni 1.900 3.307 -2.012
Ni 1.900 1.744 -0.151
Ni 0.000 2.044 1.302
Ni 0.000 0.000 2.750
Ni 1.900 3.730 1.381
Ni 0.000 5.351 1.451
Ni 0.000 3.606 3.163
Ni 0.000 1.621 4.695
Rh 1.900 -1.627 2.824
Rh 1.900 1.627 2.824
```


# 11
Here is crystalline Cs2RhAuF6 at its relaxed geometry from Alexandria via LeMat-Bulk. Energies are from PBE-GGA.

Geometry as extended XYZ:
```
10
Lattice="-3.388 3.388 4.200 3.388 -3.388 4.200 3.388 3.388 -4.200" Properties=species:S:1:pos:R:3 pbc="T T T"
Cs 3.388 0.000 2.100
Cs 0.000 3.388 2.100
Rh 0.000 0.000 0.000
Au 0.000 0.000 4.200
F 1.431 1.431 0.000
F 1.958 -1.958 4.200
F 0.000 0.000 2.068
F 0.000 0.000 6.332
F -1.958 1.958 4.200
F 1.958 1.958 4.200
```


# 12
Here is crystalline AcLaF at its relaxed geometry from Alexandria via LeMat-Bulk. Energies are from PBE-GGA.

Geometry as extended XYZ:
```
3
Lattice="4.092 0.000 0.000 -2.046 3.544 0.000 0.000 0.000 6.081" Properties=species:S:1:pos:R:3 pbc="T T T"
Ac 0.000 0.000 0.000
La 2.046 1.181 3.150
F 0.000 2.363 4.483
```


# 13
Here is crystalline ScAg2As at its relaxed geometry from Alexandria via LeMat-Bulk. Energies are from PBE-GGA.

Output
- Calculated formation energy: -0.26 eV per atom

Geometry as extended XYZ:
```
4
Lattice="3.762 0.000 0.000 0.000 3.762 0.000 0.000 0.000 5.513" Properties=species:S:1:pos:R:3 pbc="T T T"
Sc 0.000 0.000 0.000
Ag 1.881 1.881 1.379
Ag 1.881 1.881 4.134
As 0.000 0.000 2.756
```


# 14
Here is crystalline Sm3Pd5Au at its relaxed geometry from Alexandria via LeMat-Bulk. Energies are from PBE-GGA.

Output
- Calculated formation energy: -0.76 eV per atom

Geometry as extended XYZ:
```
18
Lattice="7.438 -4.290 0.000 7.438 4.290 0.000 0.000 0.000 5.788" Properties=species:S:1:pos:R:3 pbc="T T T"
Sm 4.833 1.502 1.447
Sm 7.438 3.005 4.341
Sm 4.833 -1.502 4.341
Sm 10.043 1.502 1.447
Sm 7.438 -3.005 1.447
Sm 10.043 -1.502 4.341
Pd 2.479 0.000 0.000
Pd 2.479 0.000 2.894
Pd 5.083 1.360 4.341
Pd 7.438 2.714 1.447
Pd 5.083 -1.360 1.447
Pd 9.793 1.360 4.341
Pd 7.438 -2.714 4.341
Pd 9.793 -1.360 1.447
Pd 12.397 0.000 0.000
Pd 12.397 0.000 2.894
Au 7.438 0.000 0.000
Au 7.438 0.000 2.894
```


# 15
Here is crystalline PmEuRu at its relaxed geometry from Alexandria via LeMat-Bulk. Energies are from PBE-GGA.

Output
- Calculated formation energy: 0.03 eV per atom

Geometry as extended XYZ:
```
3
Lattice="0.000 3.461 3.461 3.461 0.000 3.461 3.461 3.461 0.000" Properties=species:S:1:pos:R:3 pbc="T T T"
Pm 0.000 0.000 0.000
Eu 3.461 3.461 3.461
Ru 5.192 5.192 5.192
```


# 16
Here is crystalline SrSbTe2C at its relaxed geometry from Alexandria via LeMat-Bulk. Energies are from PBE-GGA.

Geometry as extended XYZ:
```
5
Lattice="6.148 0.000 0.000 0.000 6.148 0.000 0.000 0.000 6.267" Properties=species:S:1:pos:R:3 pbc="T T T"
Sr 0.000 0.000 0.000
Sb 0.000 0.000 3.134
Te 0.000 3.074 0.000
Te 3.074 0.000 0.000
C 3.074 3.074 3.134
```


# 17
Here is crystalline NaSr2Ir at its relaxed geometry from Alexandria via LeMat-Bulk. Energies are from PBE-GGA.

Output
- Calculated formation energy: 0.21 eV per atom

Geometry as extended XYZ:
```
8
Lattice="-4.527 4.527 3.489 4.527 -4.527 3.489 4.527 4.527 -3.489" Properties=species:S:1:pos:R:3 pbc="T T T"
Na 0.000 0.000 0.000
Na 0.000 4.527 1.745
Sr 2.263 3.023 -0.872
Sr 6.030 2.263 0.872
Sr 2.263 1.503 2.617
Sr -1.503 2.263 4.362
Ir 4.527 0.000 1.745
Ir 0.000 0.000 3.489
```


# 18
Here is crystalline SiTe2W at its relaxed geometry from Alexandria via LeMat-Bulk. Energies are from PBE-GGA.

Geometry as extended XYZ:
```
4
Lattice="-2.232 2.232 4.046 2.232 -2.232 4.046 2.232 2.232 -4.046" Properties=species:S:1:pos:R:3 pbc="T T T"
Si 0.000 0.000 0.000
Te 2.232 0.000 2.023
Te 0.000 0.000 4.046
W 0.000 2.232 2.023
```


# 19
Here is crystalline NpBe6Au6 at its relaxed geometry from Alexandria via LeMat-Bulk. Energies are from PBE-GGA.

Output
- Calculated formation energy: -0.11 eV per atom

Geometry as extended XYZ:
```
13
Lattice="-2.434 4.278 4.487 2.434 -4.278 4.487 2.434 4.278 -4.487" Properties=species:S:1:pos:R:3 pbc="T T T"
Np 0.000 0.000 0.000
Be 1.217 2.139 -2.244
Be 1.217 -2.139 2.244
Be 2.434 2.070 0.000
Be -1.217 2.139 2.244
Be 1.217 2.139 2.244
Be 0.000 2.208 4.487
Au 2.434 0.000 1.628
Au 0.000 2.848 0.000
Au 0.000 0.000 3.087
Au 0.000 0.000 5.888
Au 0.000 5.708 0.000
Au 0.000 4.278 2.859
```


# 20
Here is crystalline Pm5Tl2O2 at its relaxed geometry from Alexandria via LeMat-Bulk. Energies are from PBE-GGA.

Geometry as extended XYZ:
```
18
Lattice="-3.495 9.576 3.527 3.495 -9.576 3.527 3.495 9.576 -3.527" Properties=species:S:1:pos:R:3 pbc="T T T"
Pm 1.748 4.788 -1.763
Pm 1.748 -4.788 1.763
Pm 0.000 2.631 0.492
Pm 1.748 9.363 -1.763
Pm 1.748 -0.213 1.763
Pm 0.000 6.946 0.492
Pm 3.495 2.631 3.035
Pm -1.748 9.790 1.763
Pm 1.748 9.790 1.763
Pm 3.495 6.946 3.035
Tl 3.495 2.424 -0.138
Tl 3.495 7.152 -0.138
Tl 0.000 2.424 3.665
Tl 0.000 7.152 3.665
O 0.000 0.000 0.000
O 3.495 -4.788 3.337
O 0.000 9.576 0.000
O 0.000 14.365 0.190
```


no.,E (eV per atom)
1,-7.674
2,-3.888
3,-6.171
4,-4.137
5,-2.425
6,-4.191
7,-3.949
8,-2.005
9,-3.871
10,-5.786
11,-4.207
12,-5.205
13,-4.429
14,-5.582
15,-8.073
16,-2.461
17,-3.172
18,-5.190
19,-4.334
20,-5.668